AlIn2Mo | the Alexandria database | PBE-GGA | relaxed; calculated formation energy = 34.6 kJ/mol of atoms; energy = -4.6543 eV/atom; mass density = 7.399 g cm⁻³
1.0
2.9611 0.0000 0.0000
0.0000 2.9611 0.0000
0.0000 0.0000 9.0244
Al In Mo
1 2 1
direct
0.0000 0.0000 0.0000
0.5000 0.5000 0.2633
0.5000 0.5000 0.7367
0.0000 0.0000 0.5000